(A)
The following is a PBE-GGA calculation of crystalline Nb2CrSe5 at its relaxed geometry, from the Alexandria database.

Cell lengths 5.075, 12.680, 11.584 Å; angles 90.00, 90.00, 90.00 degrees
Space group Cmcm (No. 63)
Inequivalent atoms, fractional coordinates:
Nb  0.000  0.177  0.034 x8
Cr  0.000  0.198  0.750 x4
Se  0.000  0.044  0.618 x8
Se  0.000  0.262  0.250 x4
Se  0.000  0.343  0.595 x8

Properties
As for the density of states at the Fermi level: 0.386 states/eV/atom. The calculation puts the calculated volume at 745.4 Å³ per cell.

(B)
The following is a PBE-GGA calculation of crystalline Nb2CrSe5 at its relaxed geometry, from the Alexandria database.

Cell lengths 4.628, 13.368, 13.600 Å; angles 90.00, 90.00, 90.00 degrees
Space group Fmmm (No. 69)
Inequivalent atoms, fractional coordinates:
Nb  0.000  0.000  0.189 x8
Cr  0.000  0.000  0.500 x4
Se  0.000  0.000  0.000 x4
Se  0.000  0.120  0.342 x16

Properties
As for the density of states at the Fermi level: 0.437 states/eV/atom. The calculation puts the calculated volume at 841.4 Å³ per cell.

The most stable of them is (A).

(A)
The following is a PBE-GGA calculation of crystalline NbCr3Si at its relaxed geometry, from the Alexandria database.

Cell lengths 4.279, 4.279, 4.279 Å; angles 90.00, 90.00, 90.00 degrees
Space group Pm-3m (No. 221)
Inequivalent atoms, fractional coordinates:
Nb  0.000  0.000  0.000 x1
Cr  0.000  0.500  0.500 x3
Si  0.500  0.500  0.500 x1

Properties
As for the density of states at the Fermi level: 0.883 states/eV/atom. The calculation puts the calculated volume at 78.3 Å³ per cell.

(B)
The following is a PBE-GGA calculation of crystalline NbCr3Si at its relaxed geometry, from the Alexandria database.

Cell lengths 4.668, 4.668, 4.668 Å; angles 90.00, 90.00, 90.00 degrees
Space group Pm-3m (No. 221)
Inequivalent atoms, fractional coordinates:
Nb  0.000  0.000  0.000 x1
Cr  0.000  0.000  0.500 x3
Si  0.500  0.500  0.500 x1

Properties
As for the density of states at the Fermi level: 1.035 states/eV/atom. The calculation puts the calculated volume at 101.7 Å³ per cell.

The most stable of them is (A).

(A)
The following is a PBE-GGA calculation of crystalline Nb2Cr4Si5 at its relaxed geometry, from the Alexandria database.

Cell lengths 7.516, 15.794, 4.849 Å; angles 90.00, 90.00, 90.00 degrees
Space group Ibam (No. 72)
Inequivalent atoms, fractional coordinates:
Nb  0.120  0.141  0.000 x8
Cr  0.000  0.308  0.250 x8
Cr  0.245  0.439  0.000 x8
Si  0.000  0.000  0.250 x4
Si  0.077  0.435  0.500 x8
Si  0.208  0.212  0.500 x8

Properties
As for the density of states at the Fermi level: 0.893 states/eV/atom. The calculation puts the calculated volume at 575.7 Å³ per cell.

(B)
The following is a PBE-GGA calculation of crystalline Nb2Cr4Si5 at its relaxed geometry, from the Alexandria database.

Cell lengths 7.458, 16.302, 5.120 Å; angles 90.00, 90.00, 90.00 degrees
Space group Ibam (No. 72)
Inequivalent atoms, fractional coordinates:
Nb  0.000  0.191  0.250 x8
Cr  0.121  0.360  0.000 x8
Cr  0.250  0.059  0.000 x8
Si  0.000  0.500  0.250 x4
Si  0.089  0.060  0.500 x8
Si  0.190  0.299  0.500 x8

Properties
As for the density of states at the Fermi level: 0.692 states/eV/atom. The calculation puts the calculated volume at 622.5 Å³ per cell.

The most stable of them is (A).

(A)
The following is a PBE-GGA calculation of crystalline NbCrSi2 at its relaxed geometry, from the Alexandria database.

Cell lengths 3.672, 3.672, 18.008 Å; angles 90.00, 90.00, 90.00 degrees
Space group I-42d (No. 122)
Inequivalent atoms, fractional coordinates:
Nb  0.000  0.000  0.000 x4
Cr  0.000  0.000  0.500 x4
Si  0.233  0.250  0.625 x8

Properties
As for the density of states at the Fermi level: 0.858 states/eV/atom. The calculation puts the calculated volume at 242.9 Å³ per cell.

(B)
The following is a PBE-GGA calculation of crystalline NbCrSi2 at its relaxed geometry, from the Alexandria database.

Cell lengths 6.076, 6.076, 6.076 Å; angles 90.00, 90.00, 90.00 degrees
Space group Fm-3m (No. 225)
Inequivalent atoms, fractional coordinates:
Nb  0.000  0.000  0.000 x4
Cr  0.000  0.000  0.500 x4
Si  0.250  0.250  0.250 x8

Properties
As for the density of states at the Fermi level: 0.692 states/eV/atom. The calculation puts the calculated volume at 224.4 Å³ per cell.

The most stable of them is (B).